A plane-wave DFT calculation with PBE was carried out for crystalline ZrCdC at its relaxed geometry.

Cell: 3.863 3.863 9.201 Å, 77.88 77.88 60.00°
Fractional coordinates of all 6 atoms:
Cd: 0.799 0.799 0.604
Cd: 0.201 0.201 0.396
C: 0.706 0.706 0.882
C: 0.294 0.294 0.118
Zr: 0.376 0.376 0.871
Zr: 0.624 0.624 0.129

Summary:
Its theoretical density is 6.21 g/cm³. For the formation energy, the calculation gives -71.0 meV/atom. The volume comes out at 115.4 Å³/cell. As for the space group: R-3m.

=====

A plane-wave DFT calculation with PBE was carried out for crystalline Zr2CdC at its relaxed geometry.

Cell: 6.745 6.745 5.908 Å, 55.19 55.19 90.00°
Fractional coordinates of all 8 atoms:
Zr: 0.214 0.625 0.250
Zr: 0.375 0.464 0.750
Zr: 0.875 0.786 0.750
Zr: 0.536 0.125 0.250
Cd: 0.750 0.250 0.500
Cd: 0.000 0.000 0.000
C: 0.250 0.750 0.500
C: 0.500 0.500 0.000

Summary:
Its theoretical density is 6.42 g/cm³. For the formation energy, the calculation gives 44.0 meV/atom. The volume comes out at 158.6 Å³/cell. As for the space group: I-42d.

=====

A plane-wave DFT calculation with PBE was carried out for crystalline ZrCdC3 at its relaxed geometry.

Cell: 4.369 4.369 4.369 Å, 90.00 90.00 90.00°
Fractional coordinates of all 5 atoms:
C: 0.000 0.000 0.500
C: 0.000 0.500 0.000
C: 0.500 0.000 0.000
Cd: 0.500 0.500 0.500
Zr: 0.000 0.000 0.000

Summary:
Its theoretical density is 4.77 g/cm³. For the formation energy, the calculation gives 2052.7 meV/atom. For the energy above the most stable polymorph in this dataset, the calculation gives 0.000 kcal/mol of atoms. The volume comes out at 83.4 Å³/cell. As for the space group: Pm-3m.

=====

A plane-wave DFT calculation with PBE was carried out for crystalline CeC2 at its relaxed geometry.

Cell: 4.366 4.366 5.130 Å, 90.00 90.00 90.00°
Site moments in Bohr magnetons follow the coordinates.
Fractional coordinates of all 6 atoms:
Ce: 0.000 0.000 0.000  0.39
Ce: 0.500 0.500 0.500  0.39
C: 0.106 0.894 0.500  0.01
C: 0.394 0.394 0.000  0.01
C: 0.894 0.106 0.500  0.01
C: 0.606 0.606 0.000  0.01

Summary:
Its theoretical density is 5.58 g/cm³. For the formation energy, the calculation gives -53.9 meV/atom. For the energy above the most stable polymorph in this dataset, the calculation gives 2.786 kcal/mol of atoms. The volume comes out at 97.8 Å³/cell. As for the space group: P4_2/mnm.

=====

Number 1: total magnetization 0.00 μB/f.u.. Number 2: total magnetization 0.00 μB/f.u.. Number 3: total magnetization 0.00 μB/f.u.. Number 4: total magnetization 0.54 μB/f.u..